The following is a PBE calculation of a geometry-optimized Zr3AgW structure, from Alexandria via LeMat-Bulk.

Energy relative to the lowest polymorph listed for this composition   0.0000 eV/atom
SG   Pm-3m (221)
ΔH_f (0 K)   0.87 eV/atom

Lattice parameters (Å, degrees): 5.096 5.096 5.096 90.00 90.00 90.00
Fractional coordinates of all 5 atoms:
Zr 0.000 0.000 0.500
Zr 0.000 0.500 0.000
Zr 0.500 0.000 0.000
Ag 0.500 0.500 0.500
W 0.000 0.000 0.000

---

The following is a PBE calculation of a geometry-optimized VTcGe structure, from Alexandria via LeMat-Bulk.

Energy relative to the lowest polymorph listed for this composition   0.1163 eV/atom
SG   P-3m1 (164)
ΔH_f (0 K)   -0.10 eV/atom

Lattice parameters (Å, degrees): 4.289 4.289 5.408 90.00 90.00 120.00
Fractional coordinates of all 6 atoms:
V 0.333 0.667 0.061
V 0.667 0.333 0.939
Tc 0.333 0.667 0.610
Tc 0.667 0.333 0.390
Ge 0.000 0.000 0.246
Ge 0.000 0.000 0.754

---

The following is a PBE calculation of a geometry-optimized NaTbPb structure, from Alexandria via LeMat-Bulk.

SG   P6_3/mmc (194)
ΔH_f (0 K)   -0.36 eV/atom

Lattice parameters (Å, degrees): 5.472 5.472 6.517 90.00 90.00 120.00
Fractional coordinates of all 6 atoms:
Na 0.000 0.000 0.000
Na 0.000 0.000 0.500
Tb 0.333 0.667 0.250
Tb 0.667 0.333 0.750
Pb 0.333 0.667 0.750
Pb 0.667 0.333 0.250

---

The following is a PBE calculation of a geometry-optimized Ac6Rh2AuCl3 structure, from Alexandria via LeMat-Bulk.

SG   C2/m (12)
Calculated total energy   -5.24 eV per atom

Lattice parameters (Å, degrees): 7.646 7.646 8.337 98.55 98.55 120.17
Fractional coordinates of all 12 atoms:
Ac 0.083 0.432 0.794
Ac 0.217 0.217 0.205
Ac 0.432 0.083 0.794
Ac 0.568 0.917 0.206
Ac 0.783 0.783 0.795
Ac 0.917 0.568 0.206
Rh 0.166 0.834 0.000
Rh 0.834 0.166 0.000
Au 0.500 0.500 0.000
Cl 0.000 0.000 0.500
Cl 0.324 0.676 0.500
Cl 0.676 0.324 0.500

---

The following is a PBE calculation of a geometry-optimized Ag2OF structure, from Alexandria via LeMat-Bulk.

Energy relative to the lowest polymorph listed for this composition   0.0401 eV/atom
SG   P2_12_12_1 (19)

Lattice parameters (Å, degrees): 3.240 5.910 11.728 90.00 90.00 90.00
Fractional coordinates of all 16 atoms:
Ag 0.081 0.057 0.249
Ag 0.159 0.532 0.498
Ag 0.341 0.468 0.998
Ag 0.419 0.943 0.749
Ag 0.581 0.443 0.751
Ag 0.659 0.968 0.502
Ag 0.841 0.032 0.002
Ag 0.919 0.557 0.251
O 0.207 0.220 0.861
O 0.293 0.780 0.361
O 0.707 0.280 0.139
O 0.793 0.720 0.639
F 0.063 0.225 0.608
F 0.437 0.775 0.108
F 0.563 0.275 0.392
F 0.937 0.725 0.892

---

The following is a PBE calculation of a geometry-optimized AlZnAg4 structure, from Alexandria via LeMat-Bulk.

Energy relative to the lowest polymorph listed for this composition   0.2562 eV/atom
SG   F-43m (216)
ΔH_f (0 K)   0.21 eV/atom

Lattice parameters (Å, degrees): 5.449 5.449 5.449 60.00 60.00 60.00
Fractional coordinates of all 6 atoms:
Al 0.000 0.000 0.000
Zn 0.250 0.250 0.250
Ag 0.125 0.625 0.625
Ag 0.625 0.125 0.625
Ag 0.625 0.625 0.125
Ag 0.625 0.625 0.625